No. 1
Material: SmSc2Be
Method: DFT, PBE
State: relaxed

Cell: 3.251 3.251 8.432 Å, 90.00 90.00 90.00°
Sites, in units of the cell vectors:
Sm: 0.000 0.000 0.000
Sc: 0.500 0.500 0.317
Sc: 0.500 0.500 0.683
Be: 0.000 0.000 0.500

Calculated formation energy ... 0.03 eV/atom
DOS(E_F) ... 3.72 states/eV per cell
Magnetic moment ... 0.000 μB per atom



No. 2
Material: SmScBeZn
Method: DFT, PBE
State: relaxed

Cell: 4.852 4.852 4.852 Å, 60.00 60.00 60.00°
Sites, in units of the cell vectors:
Sm: 0.000 0.000 0.000
Sc: 0.500 0.500 0.500
Be: 0.750 0.750 0.750
Zn: 0.250 0.250 0.250

Calculated formation energy ... -0.10 eV/atom
DOS(E_F) ... 4.40 states/eV per cell
Magnetic moment ... 0.000 μB per atom



No. 3
Material: ScBeSn3
Method: DFT, PBE
State: relaxed

Cell: 4.936 4.936 4.936 Å, 90.00 90.00 90.00°
Sites, in units of the cell vectors:
Sc: 0.000 0.000 0.000
Be: 0.500 0.500 0.500
Sn: 0.000 0.500 0.500
Sn: 0.500 0.000 0.500
Sn: 0.500 0.500 0.000

Calculated formation energy ... 0.26 eV/atom
DOS(E_F) ... 3.23 states/eV per cell
Magnetic moment ... 0.000 μB per atom